MnCr2IrO8 | the Alexandria database | PBE with a Hubbard U | relaxed; density of states at the Fermi level = 6.61 states/eV/cell; final energy = -0.534 Ry/atom
1.0
4.536 0.000 0.000
0.000 6.067 0.000
-0.061 0.000 4.544
Mn Cr Ir O
1 2 1 8
direct
0.000 0.000 0.000
0.500 0.245 0.500
0.500 0.755 0.500
0.000 0.500 0.000
0.193 0.247 0.809
0.193 0.753 0.809
0.301 0.000 0.303
0.302 0.500 0.304
0.698 0.500 0.696
0.699 0.000 0.697
0.807 0.247 0.191
0.807 0.753 0.191